The following is a DFT calculation (PBE) of a relaxed structure of MnCd2As.

Properties
Total energy: -3.702 eV/atom
Calculated volume: 19.30 A^3/atom
ΔE_f: 0.210 eV/atom

The structure in extended XYZ format:
```
4
Lattice="-2.102 2.102 4.371 2.102 -2.102 4.371 2.102 2.102 -4.371" Properties=species:S:1:pos:R:3 pbc="T T T"
Mn 0.000 0.000 0.000
Cd 0.000 0.000 4.371
Cd 0.000 2.102 2.185
As 2.102 0.000 2.185
```

The following is a DFT calculation (PBE) of a relaxed structure of TiTlAu.

Properties
Total energy: -4.357 eV/atom
Calculated volume: 21.15 A^3/atom
ΔE_f: 0.156 eV/atom

The structure in extended XYZ format:
```
6
Lattice="4.125 0.000 0.000 0.000 4.125 0.000 0.000 0.000 7.458" Properties=species:S:1:pos:R:3 pbc="T T T"
Ti 1.031 1.031 1.150
Ti 3.094 3.094 6.309
Tl 1.031 3.094 3.729
Tl 3.094 1.031 3.729
Au 1.031 1.031 6.076
Au 3.094 3.094 1.383
```

The following is a DFT calculation (PBE) of a relaxed structure of Ac8Sm6Y.

Properties
Total energy: -4.271 eV/atom
Calculated volume: 42.36 A^3/atom
ΔE_f: 0.238 eV/atom

The structure in extended XYZ format:
```
15
Lattice="5.066 2.925 7.146 -5.066 2.925 7.146 0.000 -5.850 7.146" Properties=species:S:1:pos:R:3 pbc="T T T"
Ac -1.382 -2.647 8.063
Ac 0.000 0.000 4.921
Ac -2.983 -0.126 13.374
Ac -1.601 2.521 8.063
Ac 1.601 -2.521 13.374
Ac 2.983 0.126 8.063
Ac 0.000 0.000 16.516
Ac 1.382 2.647 13.374
Sm -3.486 0.192 9.927
Sm -1.909 -2.923 11.510
Sm 1.577 -3.115 9.927
Sm -1.577 3.115 11.510
Sm 1.909 2.923 9.927
Sm 3.486 -0.192 11.510
Y 0.000 0.000 10.719
```

The following is a DFT calculation (PBE) of a relaxed structure of CoBiTe2Au.

Properties
Raw formation energy: 0.451 eV per atom
Energy relative to the lowest polymorph listed for this composition: 0.128 eV per atom
Total energy: -3.659 eV/atom
Calculated volume: 25.85 A^3/atom

The structure in extended XYZ format:
```
5
Lattice="4.894 0.000 0.000 0.000 4.894 0.000 0.000 0.000 5.395" Properties=species:S:1:pos:R:3 pbc="T T T"
Co 0.000 0.000 0.000
Bi 0.000 0.000 2.697
Te 0.000 2.447 0.000
Te 2.447 0.000 0.000
Au 2.447 2.447 2.697
```

The following is a DFT calculation (PBE) of a relaxed structure of Tb2RuO6.

Properties
Raw formation energy: -2.254 eV per atom
Energy relative to the lowest polymorph listed for this composition: 0.045 eV per atom
Total energy: -7.619 eV/atom
Calculated volume: 13.95 A^3/atom

The structure in extended XYZ format:
```
18
Lattice="5.009 0.000 0.000 0.000 5.009 0.000 0.000 0.000 10.007" Properties=species:S:1:pos:R:3 pbc="T T T"
Tb 0.000 0.000 1.707
Tb 0.000 0.000 8.299
Tb 2.504 2.504 3.296
Tb 2.504 2.504 6.711
Ru 0.000 0.000 5.003
Ru 2.504 2.504 0.000
O 0.933 0.933 3.558
O 0.933 0.933 6.449
O 1.140 1.140 0.000
O 1.365 3.644 5.003
O 1.572 3.437 1.446
O 1.572 3.437 8.561
O 3.437 1.572 1.446
O 3.437 1.572 8.561
O 3.644 1.365 5.003
O 3.869 3.869 0.000
O 4.076 4.076 3.558
O 4.076 4.076 6.449
```

The following is a DFT calculation (PBE) of a relaxed structure of AcPmDy4Er2.

Properties
Total energy: -4.506 eV/atom
Calculated volume: 33.11 A^3/atom
ΔE_f: 0.043 eV/atom

The structure in extended XYZ format:
```
8
Lattice="5.091 0.000 0.000 0.000 5.122 0.000 0.000 0.000 10.156" Properties=species:S:1:pos:R:3 pbc="T T T"
Ac 0.000 0.000 0.000
Pm 2.546 2.561 5.078
Dy 0.000 2.561 2.606
Dy 0.000 2.561 7.550
Dy 2.546 0.000 2.618
Dy 2.546 0.000 7.538
Er 0.000 0.000 5.078
Er 2.546 2.561 0.000
```

The following is a DFT calculation (PBE) of a relaxed structure of Pm3Sc2Ga3.

Properties
Energy relative to the lowest polymorph listed for this composition: 0.000 eV per atom
Total energy: -4.965 eV/atom
Calculated volume: 25.01 A^3/atom
ΔE_f: -0.466 eV/atom

The structure in extended XYZ format:
```
16
Lattice="8.643 0.000 0.000 -4.321 7.485 0.000 0.000 0.000 6.185" Properties=species:S:1:pos:R:3 pbc="T T T"
Pm -1.072 1.856 1.546
Pm -3.250 5.629 4.639
Pm 2.143 0.000 1.546
Pm 1.072 1.856 4.639
Pm 6.499 0.000 4.639
Pm 3.250 5.629 1.546
Sc 0.000 4.990 0.000
Sc 0.000 4.990 3.093
Sc 4.321 2.495 0.000
Sc 4.321 2.495 3.093
Ga -1.757 3.044 4.639
Ga -2.564 4.441 1.546
Ga 3.514 0.000 4.639
Ga 1.757 3.044 1.546
Ga 5.128 0.000 1.546
Ga 2.564 4.441 4.639
```

The following is a DFT calculation (PBE) of a relaxed structure of La4Pr2NdDy.

Properties
Total energy: -4.817 eV/atom
Calculated volume: 35.82 A^3/atom
ΔE_f: 0.013 eV/atom

The structure in extended XYZ format:
```
8
Lattice="5.244 0.000 0.000 0.000 5.272 0.000 -0.012 0.000 10.367" Properties=species:S:1:pos:R:3 pbc="T T T"
La 5.239 0.000 2.575
La -0.007 0.000 7.792
La 2.614 2.636 2.568
La 2.618 2.636 7.799
Pr -0.006 2.636 5.184
Pr 2.622 0.000 0.000
Nd 2.616 0.000 5.184
Dy 0.000 2.636 0.000
```

The following is a DFT calculation (PBE) of a relaxed structure of K3LiSi4.

Properties
Raw formation energy: -0.117 eV per atom
Total energy: -3.480 eV/atom
Calculated volume: 28.72 A^3/atom

The structure in extended XYZ format:
```
32
Lattice="7.663 0.000 0.000 0.000 9.745 0.000 0.000 0.000 12.306" Properties=species:S:1:pos:R:3 pbc="T T T"
K 1.197 2.436 1.223
K 1.202 0.522 9.922
K 1.202 4.351 9.922
K 2.630 5.394 3.769
K 2.630 9.223 3.769
K 2.634 7.309 7.376
K 5.029 2.436 4.930
K 5.034 0.522 8.537
K 5.034 4.351 8.537
K 6.461 5.394 2.384
K 6.461 9.223 2.384
K 6.466 7.309 11.083
Li 0.000 0.000 6.153
Li 0.000 4.872 6.153
Li 3.832 0.000 0.000
Li 3.832 4.872 0.000
Si 0.096 2.436 7.195
Si 1.045 2.436 4.933
Si 1.643 6.121 0.597
Si 1.643 8.496 0.597
Si 2.188 1.249 6.750
Si 2.188 3.624 6.750
Si 2.787 7.309 11.086
Si 3.736 7.309 1.042
Si 3.927 2.436 11.264
Si 4.877 2.436 1.220
Si 5.475 6.121 5.556
Si 5.475 8.496 5.556
Si 6.020 1.249 11.709
Si 6.020 3.624 11.709
Si 6.619 7.309 7.373
Si 7.568 7.309 5.111
```

The following is a DFT calculation (PBE) of a relaxed structure of CuAg2Pb.

Properties
Total energy: -3.124 eV/atom
Calculated volume: 19.76 A^3/atom
ΔE_f: 0.253 eV/atom

The structure in extended XYZ format:
```
4
Lattice="2.842 -4.361 0.000 2.842 4.361 0.000 0.000 0.000 3.189" Properties=species:S:1:pos:R:3 pbc="T T T"
Cu 0.000 0.000 0.000
Ag 1.421 2.180 1.595
Ag 1.421 -2.180 1.595
Pb 2.842 0.000 0.000
```

The following is a DFT calculation (PBE) of a relaxed structure of BeAgPb.

Properties
Energy relative to the lowest polymorph listed for this composition: 0.073 eV per atom
Total energy: -3.001 eV/atom
Calculated volume: 19.91 A^3/atom
ΔE_f: 0.428 eV/atom

The structure in extended XYZ format:
```
3
Lattice="4.277 0.000 0.000 -2.139 3.704 0.000 0.000 0.000 3.769" Properties=species:S:1:pos:R:3 pbc="T T T"
Be 0.000 0.000 0.000
Ag 0.000 2.470 3.762
Pb 2.139 1.235 1.878
```

The following is a DFT calculation (PBE) of a relaxed structure of Al7V2Cr2.

Properties
Total energy: -5.502 eV/atom
Calculated volume: 16.55 A^3/atom
ΔE_f: 0.287 eV/atom

The structure in extended XYZ format:
```
11
Lattice="2.578 -4.327 0.000 2.578 4.327 0.000 0.000 0.000 8.159" Properties=species:S:1:pos:R:3 pbc="T T T"
Al 0.000 0.000 0.000
Al 1.289 2.164 2.415
Al 1.289 2.164 5.744
Al 1.289 -2.164 2.415
Al 1.289 -2.164 5.744
Al 2.578 0.000 2.029
Al 2.578 0.000 6.131
V 2.578 1.574 0.000
V 2.578 -1.574 0.000
Cr 0.917 0.000 4.080
Cr 4.239 0.000 4.080
```